# ZrCuReB | OQMD via LeMat-Bulk | PBE | optimized geometry
data_ZrCuReB
_space_group_name_H-M_alt 'F -4 3 m'
_space_group_IT_number 216
_space_group_name_Hall 'F -4 2 3'
_cell_length_a 6.0792
_cell_length_b 6.0792
_cell_length_c 6.0792
_cell_angle_alpha 90.00
_cell_angle_beta 90.00
_cell_angle_gamma 90.00
loop_
_atom_site_label
_atom_site_fract_x
_atom_site_fract_y
_atom_site_fract_z
Zr1 0.0000 0.0000 0.0000
Cu1 0.2500 0.2500 0.7500
Re1 0.2500 0.2500 0.2500
B1 0.0000 0.0000 0.5000
# Final energy = -114.3 eV/cell
# M_tot = 0.0 μB per formula unit
# E above lowest polymorph = 0 meV/atom
# Calculated volume = 225 Å³ per cell